# 1
Below is crystalline Na2V2ZnO7 at its relaxed geometry, with properties calculated at the GGA-PBEsol level.

Unit cell a=5.069 b=8.267 c=8.267 alpha=90.00 beta=90.00 gamma=90.00
Sites, in units of the cell vectors:
Na: 0.492 0.165 0.335
Na: 0.508 0.335 0.835
Na: 0.508 0.665 0.165
Na: 0.492 0.835 0.665
V: 0.924 0.145 0.645
V: 0.076 0.645 0.855
V: 0.076 0.355 0.145
V: 0.924 0.855 0.355
Zn: 0.000 0.000 0.000
Zn: 0.000 0.500 0.500
O: 0.750 0.647 0.853
O: 0.800 0.000 0.500
O: 0.206 0.829 0.905
O: 0.206 0.405 0.329
O: 0.250 0.147 0.647
O: 0.206 0.171 0.095
O: 0.250 0.853 0.353
O: 0.200 0.500 0.000
O: 0.206 0.595 0.671
O: 0.794 0.671 0.405
O: 0.794 0.905 0.171
O: 0.750 0.353 0.147
O: 0.794 0.329 0.595
O: 0.794 0.095 0.829

Uncorrected formation energy = -2.138 eV per atom
Space group = P-42_1m

# 2
Below is crystalline Bi2MoAsRu at its relaxed geometry, with properties calculated at the GGA-PBEsol level.

Unit cell a=4.565 b=5.325 c=5.325 alpha=90.00 beta=90.00 gamma=90.00
Each line ends with the local moment (μB).
Sites, in units of the cell vectors:
Ru: 0.500 0.500 0.500  1.60
Mo: 0.500 0.000 0.000  0.76
As: 0.000 0.000 0.000  -0.01
Bi: 0.000 0.000 0.500  -0.06
Bi: 0.000 0.500 0.000  -0.06

ΔH_f (0 K) = 1.64 eV/atom
Space group = P4/mmm

Number 1: V 14.4 Å³ per atom. Number 2: V 25.9 Å³ per atom.